1.
Entry from the Alexandria database: ScSi2Te after structural relaxation (PBE).

It has space group Cmm2 (No. 35), with a = 4.097 Å, b = 5.066 Å, c = 8.507 Å, α = 90.00°, β = 90.00° and γ = 90.00°. The asymmetric unit holds Sc at (0.000, 0.000, 0.000), Si at (0.000, 0.000, 0.634), Si at (0.000, 0.500, 0.786) and Te at (0.000, 0.500, 0.248).

As for the crystal system: orthorhombic.

---

2.
Entry from the Alexandria database: ScSiTe2 after structural relaxation (PBE).

It has space group F-43m (No. 216), with a = 7.279 Å, b = 7.279 Å, c = 7.279 Å, α = 90.00°, β = 90.00° and γ = 90.00°. The asymmetric unit holds Sc at (0.000, 0.000, 0.000), Si at (0.250, 0.250, 0.750), Te at (0.000, 0.000, 0.500) and Te at (0.250, 0.250, 0.250).

As for the crystal system: cubic.

---

3.
Entry from the Alexandria database: Sc6SiTe2 after structural relaxation (PBE).

It has space group P4_2/mnm (No. 136), with a = 6.412 Å, b = 6.412 Å, c = 12.204 Å, α = 90.00°, β = 90.00° and γ = 90.00°. The asymmetric unit holds Sc at (0.194, 0.194, 0.154), Sc at (0.219, 0.219, 0.500), Si at (0.000, 0.000, 0.000) and Te at (0.000, 0.000, 0.334).

As for the crystal system: tetragonal.

---

4.
Entry from the Alexandria database: ScSi2Te after structural relaxation (PBE).

It has space group Pmmm (No. 47), with a = 3.622 Å, b = 4.646 Å, c = 4.737 Å, α = 90.00°, β = 90.00° and γ = 90.00°. The asymmetric unit holds Sc at (0.000, 0.000, 0.000), Si at (0.000, 0.500, 0.500), Si at (0.500, 0.500, 0.000) and Te at (0.500, 0.000, 0.500).

As for the crystal system: orthorhombic.

---

5.
Entry from the Alexandria database: Sc2SiTe2 after structural relaxation (PBE).

It has space group I4/mmm (No. 139), with a = 4.193 Å, b = 4.193 Å, c = 14.506 Å, α = 90.00°, β = 90.00° and γ = 90.00°. The asymmetric unit holds Sc at (0.000, 0.000, 0.102), Si at (0.000, 0.000, 0.500) and Te at (0.000, 0.500, 0.250).

As for the crystal system: tetragonal.

---

6.
Entry from the Alexandria database: Sc2Si2Te after structural relaxation (PBE).

It has space group P4/mbm (No. 127), with a = 7.381 Å, b = 7.381 Å, c = 3.688 Å, α = 90.00°, β = 90.00° and γ = 90.00°. The asymmetric unit holds Sc at (0.187, 0.313, 0.000), Si at (0.110, 0.610, 0.500) and Te at (0.000, 0.000, 0.500).

As for the crystal system: tetragonal.

---

7.
Entry from the Alexandria database: Sc2SiTe after structural relaxation (PBE).

It has space group P2/m (No. 10), with a = 3.596 Å, b = 3.724 Å, c = 6.677 Å, α = 90.00°, β = 103.73° and γ = 90.00°. The asymmetric unit holds Sc at (0.053, 0.000, 0.271), Si at (0.500, 0.500, 0.500) and Te at (0.500, 0.500, 0.000).

As for the crystal system: monoclinic.

---

8.
Entry from the Alexandria database: Sc2SiTe after structural relaxation (PBE).

It has space group Cmmm (No. 65), with a = 6.181 Å, b = 7.511 Å, c = 3.614 Å, α = 90.00°, β = 90.00° and γ = 90.00°. The asymmetric unit holds Sc at (0.250, 0.250, 0.000), Si at (0.000, 0.000, 0.500) and Te at (0.000, 0.500, 0.500).

As for the crystal system: orthorhombic.

---

Taking the records one at a time from the top gives DFT total energy values of -20.8 -17.4 -53.0 -20.3 -25.0 -29.1 -23.9 -23.5 eV/f.u..
Taking the records one at a time from the top gives density of states at the Fermi level values of 3.6 21.6 22.3 1.7 7.0 7.3 2.1 6.0 states/eV per cell.
Taking the records one at a time from the top gives energy relative to the elements, uncorrected values of -113 161 -371 10 -131 -492 -663 -556 meV per atom.